This record from Alexandria describes an optimized crystal structure of Rb2PmVS4. The functional is PBE-GGA.

Results
Calculated total energy, eV/atom: -5.2906
Energy relative to the elements, uncorrected, eV per atom: -1.251

a = 7.363 Å, b = 7.363 Å, c = 9.754 Å
α = 90.00°, β = 90.00°, γ = 90.00°
Space group I-4 (No. 82)
Symmetry-distinct sites (fractional):
Rb  0.000  0.000  0.000
Rb  0.000  0.500  0.250
Pm  0.000  0.000  0.500
V  0.000  0.500  0.750
S  0.157  0.726  0.636


This record from Alexandria describes an optimized crystal structure of Mg7Tl2Cd. The functional is PBE-GGA.

Results
E above lowest polymorph, meV/atom: 328
Calculated total energy, eV/atom: -1.3541
E_form, eV/atom: 0.327

a = 10.673 Å, b = 10.673 Å, c = 10.673 Å
α = 90.00°, β = 90.00°, γ = 90.00°
Space group Fm-3m (No. 225)
Symmetry-distinct sites (fractional):
Mg  0.000  0.000  0.000
Mg  0.000  0.000  0.253
Tl  0.250  0.250  0.250
Cd  0.000  0.000  0.500


This record from Alexandria describes an optimized crystal structure of ReTc2W. The functional is PBE-GGA.

Results
E above lowest polymorph, meV/atom: 87
Calculated total energy, eV/atom: -11.3326
E_form, eV/atom: 0.201

a = 6.237 Å, b = 6.237 Å, c = 6.237 Å
α = 90.00°, β = 90.00°, γ = 90.00°
Space group Fm-3m (No. 225)
Symmetry-distinct sites (fractional):
Re  0.000  0.000  0.000
Tc  0.250  0.250  0.250
W  0.000  0.000  0.500


This record from Alexandria describes an optimized crystal structure of Th4H3Rh12Pb. The functional is PBE-GGA.

Results
Calculated total energy, eV/atom: -7.1424

a = 8.651 Å, b = 8.651 Å, c = 8.651 Å
α = 90.00°, β = 90.00°, γ = 90.00°
Space group Im-3m (No. 229)
Symmetry-distinct sites (fractional):
Th  0.250  0.250  0.250
H  0.000  0.000  0.500
Rh  0.000  0.000  0.298
Rh  0.000  0.250  0.500
Pb  0.000  0.000  0.000


This record from Alexandria describes an optimized crystal structure of Ho2Cd3Cu. The functional is PBE-GGA.

Results
Calculated total energy, eV/atom: -2.9186
E_form, eV/atom: -0.252

a = 3.400 Å, b = 4.822 Å, c = 8.363 Å
α = 90.00°, β = 90.00°, γ = 90.00°
Space group Pmm2 (No. 25)
Symmetry-distinct sites (fractional):
Ho  0.000  0.000  0.000
Ho  0.000  0.500  0.460
Cd  0.500  0.000  0.631
Cd  0.500  0.500  0.149
Cd  0.500  0.500  0.808
Cu  0.500  0.000  0.307


This record from Alexandria describes an optimized crystal structure of Ba4LiLa. The functional is PBE-GGA.

Results
Calculated total energy, eV/atom: -1.9852
E_form, eV/atom: 0.437

a = 10.941 Å, b = 10.941 Å, c = 10.941 Å
α = 90.00°, β = 90.00°, γ = 90.00°
Space group F-43m (No. 216)
Symmetry-distinct sites (fractional):
Ba  0.124  0.124  0.124
Li  0.000  0.000  0.500
La  0.250  0.250  0.750


This record from Alexandria describes an optimized crystal structure of CrTeOs2. The functional is PBE-GGA.

Results
Calculated total energy, eV/atom: -7.7819
Energy relative to the elements, uncorrected, eV per atom: 1.024

a = 5.482 Å, b = 5.482 Å, c = 11.655 Å
α = 90.00°, β = 90.00°, γ = 90.00°
Space group I-42d (No. 122)
Symmetry-distinct sites (fractional):
Cr  0.000  0.000  0.000
Te  0.000  0.000  0.500
Os  0.202  0.250  0.125


This record from Alexandria describes an optimized crystal structure of La2NbCd. The functional is PBE-GGA.

Results
Calculated total energy, eV/atom: -4.7527
E_form, eV/atom: 0.457

a = 3.2175 Å, b = 3.2175 Å, c = 35.6669 Å
α = 90.00°, β = 90.00°, γ = 120.00°
Space group R-3m (No. 166, hexagonal axes)
Symmetry-distinct sites (fractional):
La  0.0000  0.0000  0.0821
Nb  0.0000  0.0000  0.0000
Cd  0.0000  0.0000  0.5000


This record from Alexandria describes an optimized crystal structure of AcDy2Y. The functional is PBE-GGA.

Results
E above lowest polymorph, meV/atom: 55
Calculated total energy, eV/atom: -4.8316
E_form, eV/atom: 0.113

a = 4.139 Å, b = 4.139 Å, c = 8.278 Å
α = 90.00°, β = 90.00°, γ = 90.00°
Space group P4/mmm (No. 123)
Symmetry-distinct sites (fractional):
Ac  0.000  0.000  0.000
Dy  0.500  0.500  0.278
Y  0.000  0.000  0.500


This record from Alexandria describes an optimized crystal structure of Cr2TeOs2. The functional is PBE-GGA.

Results
E above lowest polymorph, meV/atom: 0
Calculated total energy, eV/atom: -8.5278
Energy relative to the elements, uncorrected, eV per atom: 0.442

a = 7.424 Å, b = 7.424 Å, c = 2.822 Å
α = 90.00°, β = 90.00°, γ = 90.00°
Space group P4/mbm (No. 127)
Symmetry-distinct sites (fractional):
Cr  0.142  0.358  0.000
Te  0.000  0.000  0.500
Os  0.141  0.641  0.500


This record from Alexandria describes an optimized crystal structure of Nd4CN3. The functional is PBE-GGA.

Results
Calculated total energy, eV/atom: -7.5876
Energy relative to the elements, uncorrected, eV per atom: -0.929

a = 5.194 Å, b = 5.194 Å, c = 10.452 Å
α = 90.00°, β = 90.00°, γ = 90.00°
Space group I4/mmm (No. 139)
Symmetry-distinct sites (fractional):
Nd  0.000  0.000  0.243
Nd  0.000  0.500  0.000
C  0.000  0.000  0.500
N  0.000  0.000  0.000
N  0.000  0.500  0.250


This record from Alexandria describes an optimized crystal structure of AcErPaS6. The functional is PBE-GGA.

Results
Calculated total energy, eV/atom: -6.3244
Energy relative to the elements, uncorrected, eV per atom: -1.554

a = 7.0262 Å, b = 7.0262 Å, c = 5.9192 Å
α = 90.00°, β = 90.00°, γ = 120.00°
Space group P312 (No. 149)
Symmetry-distinct sites (fractional):
Ac  0.0000  0.0000  0.0000
Er  0.3333  0.6667  0.0000
Pa  0.6667  0.3333  0.5000
S  0.3658  0.0025  0.2550


This record from Alexandria describes an optimized crystal structure of Pm3Dy3Mg. The functional is PBE-GGA.

Results
E above lowest polymorph, meV/atom: 0
Calculated total energy, eV/atom: -4.2220
E_form, eV/atom: 0.014

a = 9.5430 Å, b = 9.5430 Å, c = 5.6481 Å
α = 90.00°, β = 90.00°, γ = 120.00°
Space group P6_3/m (No. 176)
Symmetry-distinct sites (fractional):
Pm  0.1015  0.4726  0.2500
Dy  0.0530  0.2362  0.7500
Mg  0.3333  0.6667  0.7500


This record from Alexandria describes an optimized crystal structure of Gd2GaSe. The functional is PBE-GGA.

Results
Calculated total energy, eV/atom: -9.8417
Energy relative to the elements, uncorrected, eV per atom: -1.173

a = 4.0194 Å, b = 4.0194 Å, c = 22.0429 Å
α = 90.00°, β = 90.00°, γ = 120.00°
Space group R-3m (No. 166, hexagonal axes)
Symmetry-distinct sites (fractional):
Gd  0.0000  0.0000  0.2482
Ga  0.0000  0.0000  0.0000
Se  0.0000  0.0000  0.5000


This record from Alexandria describes an optimized crystal structure of KCBr3. The functional is PBE-GGA.

Results
E above lowest polymorph, meV/atom: 1095
Calculated total energy, eV/atom: -1.7424
Energy relative to the elements, uncorrected, eV per atom: 1.326

a = 6.350 Å, b = 6.350 Å, c = 6.350 Å
α = 90.00°, β = 90.00°, γ = 90.00°
Space group Pm-3m (No. 221)
Symmetry-distinct sites (fractional):
K  0.000  0.000  0.000
C  0.500  0.500  0.500
Br  0.000  0.000  0.500


This record from Alexandria describes an optimized crystal structure of Tl17In11Bi. The functional is PBE-GGA.

Results
Calculated total energy, eV/atom: -2.5533
E_form, eV/atom: 0.006

a = 11.955 Å, b = 16.926 Å, c = 10.443 Å
α = 90.00°, β = 124.46°, γ = 90.00°
Space group Cm (No. 8)
Symmetry-distinct sites (fractional):
Tl  0.000  0.000  0.000
Tl  0.004  0.000  0.357
Tl  0.065  0.339  0.402
Tl  0.139  0.500  0.639
Tl  0.159  0.160  0.606
Tl  0.177  0.180  0.998
Tl  0.185  0.500  0.282
Tl  0.305  0.302  0.318
Tl  0.403  0.000  0.722
Tl  0.462  0.144  0.002
Tl  0.480  0.200  0.680
In  0.005  0.183  0.186
In  0.185  0.000  0.811
In  0.221  0.410  0.997
In  0.277  0.094  0.375
In  0.316  0.316  0.815
In  0.405  0.407  0.632
Bi  0.364  0.000  0.176


This record from Alexandria describes an optimized crystal structure of Mn5V6Ge. The functional is PBE-GGA.

Results
Calculated total energy, eV/atom: -8.9790
E_form, eV/atom: -0.214

a = 4.074 Å, b = 5.853 Å, c = 12.247 Å
α = 90.00°, β = 90.00°, γ = 90.00°
Space group Immm (No. 71)
Symmetry-distinct sites (fractional):
Mn  0.000  0.000  0.000
Mn  0.000  0.000  0.336
Mn  0.000  0.500  0.332
V  0.000  0.244  0.171
V  0.000  0.265  0.500
Ge  0.000  0.500  0.000


This record from Alexandria describes an optimized crystal structure of NaMgHgAu. The functional is PBE-GGA.

Results
E above lowest polymorph, meV/atom: 64
Calculated total energy, eV/atom: -1.9140
E_form, eV/atom: -0.291

a = 6.937 Å, b = 6.937 Å, c = 6.937 Å
α = 90.00°, β = 90.00°, γ = 90.00°
Space group F-43m (No. 216)
Symmetry-distinct sites (fractional):
Na  0.000  0.000  0.000
Mg  0.000  0.000  0.500
Hg  0.250  0.250  0.750
Au  0.250  0.250  0.250


This record from Alexandria describes an optimized crystal structure of HfTi2SiH. The functional is PBE-GGA.

Results
Calculated total energy, eV/atom: -7.3414

a = 4.023 Å, b = 4.023 Å, c = 4.266 Å
α = 90.00°, β = 90.00°, γ = 90.00°
Space group P4/mmm (No. 123)
Symmetry-distinct sites (fractional):
Hf  0.000  0.000  0.000
Ti  0.000  0.500  0.500
Si  0.500  0.500  0.000
H  0.000  0.000  0.500


This record from Alexandria describes an optimized crystal structure of LuScCuRe. The functional is PBE-GGA.

Results
Calculated total energy, eV/atom: -6.9387
E_form, eV/atom: -0.090

a = 6.626 Å, b = 6.626 Å, c = 6.626 Å
α = 90.00°, β = 90.00°, γ = 90.00°
Space group F-43m (No. 216)
Symmetry-distinct sites (fractional):
Lu  0.000  0.000  0.000
Sc  0.000  0.000  0.500
Cu  0.250  0.250  0.250
Re  0.250  0.250  0.750